# 1
12
Lattice="7.508 0.000 0.000 -3.754 6.502 0.000 0.000 0.000 9.386" Properties=species:S:1:pos:R:3 comment="Ca2La3Pm (GGA-PBE, optimized geometry)" ef_kj_per_mol_atoms=3.2 pbc="T T T"
Ca 0.000 0.000 0.000
Ca 3.754 0.000 0.000
Ca -1.877 3.251 0.000
Ca 1.877 3.251 0.000
La -1.876 5.418 6.140
La 0.000 2.168 6.140
La 1.876 5.418 6.140
La 5.631 1.084 3.246
La 1.878 1.084 3.246
La 3.754 4.334 3.246
Pm 0.000 4.335 3.211
Pm 3.754 2.167 6.175

---

# 2
8
Lattice="-4.748 -0.286 2.824 -1.070 -4.918 -2.297 -0.170 -5.225 4.604" Properties=species:S:1:pos:R:3 comment="SiGe2P (GGA-PBE, optimized geometry)" raw_formation_energy_ev_per_atom=0.18 pbc="T T T"
P 0.000 0.000 0.000
P -3.913 -4.056 3.846
Ge -3.130 -2.099 2.621
Ge -1.318 -4.416 0.076
Ge -2.312 -5.884 3.644
Ge -5.215 -8.458 3.921
Si -2.909 -2.602 0.264
Si -2.074 -6.372 1.285

---

# 3
3
Lattice="8.137 0.061 0.000 6.857 4.381 0.000 -7.497 -2.221 2.253" Properties=species:S:1:pos:R:3 comment="ZrSbCl (GGA-PBE, optimized geometry)" raw_formation_energy_ev_per_atom=-0.86 pbc="T T T"
Cl 0.754 0.223 0.000
Sb 4.430 1.312 0.000
Zr 9.810 2.906 0.000

---

# 4
12
Lattice="-4.625 3.077 -1.083 0.012 -1.657 -4.758 -4.455 -5.968 2.068" Properties=species:S:1:pos:R:3 comment="YCu2 (GGA-PBE, optimized geometry)" ef_kj_per_mol_atoms=-14.2 pbc="T T T"
Y -5.827 -1.909 -0.683
Y -4.232 0.671 -4.245
Y -4.837 -5.219 0.472
Y -3.241 -2.639 -3.090
Cu -5.449 0.883 -1.655
Cu -6.029 -4.023 -2.615
Cu -3.040 -0.526 -1.158
Cu -3.620 -5.432 -2.118
Cu -3.113 -3.008 -0.293
Cu -1.616 -0.363 -3.879
Cu -7.453 -4.186 0.106
Cu -5.956 -1.540 -3.479

---

# 5
12
Lattice="5.171 0.000 1.561 2.350 4.606 1.561 -0.005 -0.003 9.362" Properties=species:S:1:pos:R:3 comment="Ce3PmOs8 (GGA-PBE, optimized geometry)" ef_kj_per_mol_atoms=-20.5 pbc="T T T"
Ce 2.813 1.723 9.372
Ce -0.004 -0.002 9.359
Ce 3.754 2.299 6.254
Pm 6.580 4.030 6.240
Os 5.875 2.017 3.897
Os 4.459 4.317 8.586
Os 3.293 2.017 3.118
Os 7.049 4.317 9.368
Os 1.410 0.863 4.676
Os 5.168 3.165 10.917
Os 4.466 4.317 3.897
Os 5.872 2.010 8.586

---

# 6
4
Lattice="-1.818 2.562 -1.136 -0.152 -1.442 -3.009 -5.836 -3.308 1.880" Properties=species:S:1:pos:R:3 comment="PrHfRu2 (GGA-PBE, optimized geometry)" ef_kj_per_mol_atoms=-37.0 pbc="T T T"
Pr -3.903 -1.095 -1.133
Ru -4.562 -2.586 1.470
Ru -1.274 -0.722 0.410
Hf -0.985 0.560 -2.073

---

# 7
12
Lattice="6.296 -0.001 0.015 -3.147 5.453 0.015 -1.076 -1.863 11.727" Properties=species:S:1:pos:R:3 comment="PmNd6Y3Ho2 (GGA-PBE, optimized geometry)" ef_kj_per_mol_atoms=1.0 pbc="T T T"
Pm 0.000 0.000 0.000
Nd 3.128 1.775 8.820
Nd 2.093 3.624 2.953
Nd -1.055 1.814 2.938
Nd -0.026 3.596 8.820
Nd -0.020 -0.035 8.804
Nd 2.098 -0.008 2.938
Y -2.109 3.611 5.879
Y 4.182 -0.022 5.879
Y 1.036 1.794 5.879
Ho 0.002 3.634 0.015
Ho 3.147 1.818 0.015

---

# 8
5
Lattice="-1.945 -1.050 -3.322 1.830 -5.355 0.622 -3.239 -0.855 2.167" Properties=species:S:1:pos:R:3 comment="RbLiFe2B (GGA-PBE, optimized geometry)" ef_kj_per_mol_atoms=80.8 pbc="T T T"
B 0.000 0.000 0.000
Fe -1.620 -0.428 1.083
Fe -0.972 -0.525 -1.661
Rb 0.915 -2.678 0.311
Li -1.677 -3.630 -0.267

---

# 9
5
Lattice="-1.294 -1.163 -5.142 -1.674 -4.930 1.536 -4.939 1.929 0.806" Properties=species:S:1:pos:R:3 comment="HgBiSCl2 (GGA-PBE, optimized geometry)" raw_formation_energy_ev_per_atom=-0.25 pbc="T T T"
S -2.470 0.964 0.403
Cl -0.837 -2.465 0.768
Cl -0.647 -0.582 -2.571
Bi 0.000 0.000 0.000
Hg -3.954 -2.082 -1.400

---

# 10
5
Lattice="-4.203 1.715 0.381 -1.464 -2.872 -3.219 -4.444 -5.706 3.889" Properties=species:S:1:pos:R:3 comment="Na2CaPb2 (GGA-PBE, optimized geometry)" ef_kj_per_mol_atoms=-21.3 pbc="T T T"
Pb -3.152 -1.591 -0.370
Pb -6.960 -5.271 1.422
Na -5.740 -2.284 1.426
Na -4.371 -4.578 -0.374
Ca 0.000 0.000 0.000

---

# 11
3
Lattice="3.691 0.000 0.000 0.000 5.387 0.000 0.000 -2.693 4.665" Properties=species:S:1:pos:R:3 comment="TmThI (GGA-PBE, optimized geometry)" raw_formation_energy_ev_per_atom=-0.02 pbc="T T T"
I 1.842 0.000 3.110
Tm 1.847 2.693 1.555
Th 0.002 0.000 0.000

---

# 12
8
Lattice="-1.753 2.526 4.660 -4.785 -2.866 -0.247 -1.655 -3.052 4.376" Properties=species:S:1:pos:R:3 comment="LaCu2H (GGA-PBE, optimized geometry)" energy_ev_per_atom=-4.0446 pbc="T T T"
H -3.269 -0.170 2.207
H -4.855 -3.044 3.168
Cu -1.669 -0.174 2.810
Cu -4.062 -1.607 2.687
Cu -4.890 -3.133 4.875
Cu -5.766 -1.870 7.205
La 0.000 0.000 0.000
La -3.339 -0.348 5.621

---

# 13
10
Lattice="4.811 0.000 0.000 0.000 7.998 0.491 0.000 -1.904 7.621" Properties=species:S:1:pos:R:3 comment="KPuPdSe2 (GGA-PBE, optimized geometry)" raw_formation_energy_ev_per_atom=-1.03 pbc="T T T"
K 0.865 2.571 5.961
K 3.947 3.523 2.151
Pu 2.344 -0.476 1.905
Pu 2.468 -1.428 5.716
Pd 0.000 0.000 0.000
Pd 0.000 -0.952 3.810
Se 3.295 4.191 7.683
Se 3.295 0.951 4.240
Se 1.516 5.143 3.872
Se 1.516 1.903 0.429

---

no.,M_tot (μB/atom)
1,0.0000
2,0.0000
3,0.0000
4,0.0000
5,0.0000
6,0.0000
7,0.0000
8,0.7414
9,0.0015
10,0.0000
11,0.0014
12,0.0000
13,1.0000